Below is crystalline Cs5K12Ag2 at its relaxed geometry, with properties calculated at the PBE level.

```
Cs5K12Ag2
1.0
8.382 0.000 -3.193
-0.865 11.692 -2.272
0.522 0.090 13.970
Cs K Ag
5 12 2
Cartesian
5.948 10.006 3.014 Cs
5.429 1.896 1.652 Cs
-0.433 5.846 -1.136 Cs
2.610 9.886 6.853 Cs
2.092 1.775 5.491 Cs
0.378 1.788 0.994 K
2.205 9.900 -0.178 K
6.618 9.900 -1.859 K
3.158 6.121 2.167 K
7.467 6.121 0.526 K
3.949 8.128 10.368 K
4.090 3.653 -1.862 K
4.881 5.660 6.338 K
0.572 5.660 7.980 K
5.834 1.882 8.683 K
1.421 1.882 10.364 K
7.661 9.994 7.512 K
5.502 0.000 -2.096 Ag
2.880 0.000 -1.097 Ag
```

Calculated values
Space group: C2/m, No. 12
Total magnetization: 0.000 Bohr magnetons per cell
Formation energy: 0.041 eV per atom
DFT total energy: -1.177 eV/atom